[1]
Entry from Alexandria: an optimized crystal structure of ScW (PBE-GGA).

Unit cell a=4.7071 b=4.7071 c=4.7928 alpha=90.00 beta=90.00 gamma=120.00
Sites, in units of the cell vectors:
W1 0.0000 0.0000 0.5000
W2 0.0000 0.0000 0.0000
Sc1 0.3333 0.6667 0.2500
Sc2 0.6667 0.3333 0.7500

Properties
mass density = 8.26 Mg/m³
E_tot = -8.779 eV/atom
energy above the lowest structure with this stoichiometry = 149 kJ/mol of formula units
ΔH_f (0 K) = 0.863 eV per atom

=====

[2]
Entry from Alexandria: an optimized crystal structure of YScW (PBE-GGA).

Unit cell a=3.1314 b=3.1314 c=7.9011 alpha=90.00 beta=90.00 gamma=120.00
Sites, in units of the cell vectors:
W1 0.6667 0.3333 0.3224
Y1 0.3333 0.6667 0.6427
Sc1 0.0000 0.0000 0.0349

Properties
mass density = 7.86 Mg/m³
E_tot = -8.032 eV/atom
energy above the lowest structure with this stoichiometry = 74 kJ/mol of formula units
ΔH_f (0 K) = 0.551 eV per atom

=====

[3]
Entry from Alexandria: an optimized crystal structure of YScW (PBE-GGA).

Unit cell a=6.6152 b=6.6152 c=6.6152 alpha=150.39 beta=150.39 gamma=42.37
Sites, in units of the cell vectors:
Sc1 0.9666 0.9666 0.0000
Y1 0.6916 0.6916 0.0000
W1 0.3417 0.3417 0.0000

Properties
mass density = 7.48 Mg/m³
E_tot = -8.185 eV/atom
energy above the lowest structure with this stoichiometry = 30 kJ/mol of formula units
ΔH_f (0 K) = 0.398 eV per atom